(1)
A plane-wave DFT calculation with PBE was carried out for Li2Y2As after structural relaxation.

The structure belongs to space group P4/mbm (No. 127); the cell edges are 6.794, 6.794 and 4.593 Å and the angles 90.00°, 90.00° and 90.00°. The asymmetric unit holds Li at (0.138, 0.362, 0.000), Y at (0.174, 0.674, 0.500) and As at (0.000, 0.000, 0.000).

For the formation energy, the calculation gives -339 meV per atom.

***

(2)
A plane-wave DFT calculation with PBE was carried out for Er4SnH after structural relaxation.

The structure belongs to space group C2/m (No. 12); the cell edges are 16.463, 6.573 and 5.587 Å and the angles 90.00°, 109.80° and 90.00°. The asymmetric unit holds Er at (0.000, 0.244, 0.000), Er at (0.113, 0.251, 0.617), Er at (0.201, 0.000, 0.219), Sn at (0.187, 0.500, 0.180) and H at (0.086, 0.000, 0.874).

***

(3)
A plane-wave DFT calculation with PBE was carried out for YMg2Hg after structural relaxation.

The structure belongs to space group I-42d (No. 122); the cell edges are 8.316, 8.316 and 6.145 Å and the angles 90.00°, 90.00° and 90.00°. The asymmetric unit holds Y at (0.000, 0.000, 0.000), Mg at (0.203, 0.750, 0.625) and Hg at (0.000, 0.000, 0.500).

For the formation energy, the calculation gives -41 meV per atom.

***

Number 1: density of states at the Fermi level 2.9 states/eV/f.u., E -4.620 eV per atom. Number 2: density of states at the Fermi level 6.4 states/eV/f.u., E -4.581 eV per atom. Number 3: density of states at the Fermi level 4.1 states/eV/f.u., E -2.530 eV per atom.